Pr3CrB2O8 | PBE with a Hubbard U | optimized geometry

E_tot ... -0.2905 hartree per atom
M_tot ... 0.071 μB per atom

Cell: 5.1311 5.1311 6.9259 Å, 90.00 90.00 120.00°
Space group P-3m1 (No. 164)
Asymmetric unit:
Pr1 0.0000 0.0000 0.0000
Pr2 0.3333 0.6667 0.6718
Cr1 0.0000 0.0000 0.5000
B1 0.3333 0.6667 0.2106
O1 0.1763 0.3525 0.2886
O2 0.3333 0.6667 0.0006